[1]
First-principles (GGA-PBE) data for a relaxed structure of Ba5Ga2Sb6, as listed in Alexandria via LeMat-Bulk.

Computed properties:
* N(E_F): 0.106 states/eV/atom
* E_tot: -3.91 eV/atom
* formation energy (no corrections): -0.7994 eV/atom
* SG: Pbam

a b c (Å): 4.7519 13.6073 15.3798
angles (deg): 90.00 90.00 90.00
Closest atoms and distances in Å follow each position.
Fractional coordinates of all 26 atoms:
Ba (0.5000, 0.9089, 0.7535)  6 Sb 3.49-3.53
Sb (0.5000, 0.3403, 0.1938)  2 Ga 2.83
Ba (0.5000, 0.5000, 0.0000)  6 Sb 3.56-3.69
Ba (0.5000, 0.5911, 0.2535)  6 Sb 3.49-3.53
Ba (0.5000, 0.6711, 0.5194)  6 Sb 3.52-3.70, 2 Ga 3.74
Sb (0.0000, 0.6601, 0.0977)  1 Ga 2.77
Ga (0.0000, 0.1776, 0.7930)  4 Sb 2.77-3.05
Ba (0.5000, 0.1711, 0.9806)  6 Sb 3.52-3.70, 2 Ga 3.74
Ba (0.5000, 0.3289, 0.4806)  6 Sb 3.52-3.70, 2 Ga 3.74
Sb (0.5000, 0.1597, 0.6938)  2 Ga 2.83
Ga (0.0000, 0.6776, 0.7070)  4 Sb 2.77-3.05
Sb (0.0000, 0.1601, 0.4023)  1 Ga 2.77
Ba (0.5000, 0.8289, 0.0194)  6 Sb 3.52-3.70, 2 Ga 3.74
Ba (0.5000, 0.0911, 0.2465)  6 Sb 3.49-3.53
Ga (0.0000, 0.3224, 0.2930)  4 Sb 2.77-3.05
Ba (0.5000, 0.0000, 0.5000)  6 Sb 3.56-3.69
Sb (0.0000, 0.3399, 0.9023)  1 Ga 2.77
Sb (0.5000, 0.6597, 0.8062)  2 Ga 2.83
Sb (0.0000, 0.9934, 0.9062)  1 Sb 2.89, 1 Ga 3.05
Sb (0.0000, 0.0066, 0.0938)  1 Sb 2.89, 1 Ga 3.05
Ba (0.5000, 0.4089, 0.7465)  6 Sb 3.49-3.53
Sb (0.5000, 0.8403, 0.3062)  2 Ga 2.83
Sb (0.0000, 0.4934, 0.5938)  1 Sb 2.89, 1 Ga 3.05
Sb (0.0000, 0.5066, 0.4062)  1 Sb 2.89, 1 Ga 3.05
Sb (0.0000, 0.8399, 0.5977)  1 Ga 2.77
Ga (0.0000, 0.8224, 0.2070)  4 Sb 2.77-3.05


[2]
First-principles (GGA-PBE) data for a relaxed structure of Pu2SBr, as listed in Alexandria via LeMat-Bulk.

Computed properties:
* N(E_F): 2.807 states/eV/atom
* E_tot: -9.66 eV/atom
* E above lowest polymorph: 0.246 eV per atom
* formation energy (no corrections): -1.0465 eV/atom
* SG: P4/mmm

a b c (Å): 3.6099 5.0141 5.0141
angles (deg): 90.00 90.00 90.00
Closest atoms and distances in Å follow each position.
Fractional coordinates of all 4 atoms:
Br (0.5000, 0.0000, 0.0000)  8 Pu 3.09
S (0.5000, 0.5000, 0.5000)  8 Pu 3.09
Pu (0.0000, 0.0000, 0.5000)  4 S 3.09, 4 Br 3.09
Pu (0.0000, 0.5000, 0.0000)  4 S 3.09, 4 Br 3.09


[3]
First-principles (GGA-PBE) data for a relaxed structure of H6AuIN2, as listed in Alexandria via LeMat-Bulk.

Computed properties:
* N(E_F): 0.000 states/eV/atom
* E_tot: -4.51 eV/atom
* SG: C2/c

a b c (Å): 7.7926 7.7926 5.9408
angles (deg): 70.58 70.58 104.45
Closest atoms and distances in Å follow each position.
Fractional coordinates of all 20 atoms:
H (0.7952, 0.8152, 0.4191)  1 N 1.04
N (0.1589, 0.3329, 0.0260)  3 H 1.03-1.04
H (0.9122, 0.6589, 0.7994)  1 N 1.03
H (0.3098, 0.0588, 0.4488)  1 N 1.04
Au (0.5842, 0.4158, 0.2500)  2 N 2.06
H (0.0588, 0.3098, 0.9488)  1 N 1.04
N (0.6671, 0.8411, 0.4740)  3 H 1.03-1.04
H (0.6902, 0.9412, 0.5512)  1 N 1.04
H (0.3411, 0.0878, 0.7006)  1 N 1.03
H (0.9412, 0.6902, 0.0512)  1 N 1.04
H (0.1848, 0.2048, 0.0809)  1 N 1.04
H (0.0878, 0.3411, 0.2006)  1 N 1.03
Au (0.4158, 0.5842, 0.7500)  2 N 2.06
I (0.1723, 0.8277, 0.2500)  6 H 2.66-2.81
H (0.2048, 0.1848, 0.5809)  1 N 1.04
N (0.8411, 0.6671, 0.9740)  3 H 1.03-1.04
N (0.3329, 0.1589, 0.5260)  3 H 1.03-1.04
I (0.8277, 0.1723, 0.7500)  6 H 2.66-2.81
H (0.6589, 0.9122, 0.2994)  1 N 1.03
H (0.8152, 0.7952, 0.9191)  1 N 1.04